Entry 1:
A plane-wave DFT calculation with PBE-GGA was carried out for a relaxed structure of SrZrAsO6.

```
18
Lattice="5.365 0.000 0.000 -2.682 4.646 0.000 0.000 0.000 10.524" Properties=species:S:1:pos:R:3 pbc="T T T"
O 1.815 2.808 6.830
O 3.339 0.168 8.957
O 0.868 1.838 3.695
O -1.524 2.975 3.695
O 1.524 2.975 1.567
O 1.158 1.671 8.957
O 0.657 4.478 3.695
O -0.657 4.478 1.567
O 3.550 2.808 8.957
O 4.207 1.671 6.830
O -0.868 1.838 1.567
O 2.026 0.168 6.830
Zr 0.000 3.097 7.893
Zr 2.682 1.549 2.631
Sr 0.000 0.000 5.262
Sr 0.000 0.000 0.000
As 2.682 1.549 7.893
As 0.000 3.097 2.631
```

**SG**: P-31c
**E_form (uncorrected)**: -2.17 eV/atom

Entry 2:
A plane-wave DFT calculation with PBE-GGA was carried out for a relaxed structure of Er3Hg3Pt2.

```
8
Lattice="3.570 0.000 0.000 0.000 6.642 -3.835 0.000 0.000 7.670" Properties=species:S:1:pos:R:3 pbc="T T T"
Er 1.785 2.800 1.616
Er 1.785 3.843 -2.219
Er 1.785 0.000 4.437
Hg 0.000 0.000 1.756
Hg 0.000 5.121 2.957
Hg 0.000 1.521 -0.878
Pt 0.000 2.214 3.835
Pt 0.000 4.428 0.000
```

**SG**: P-62m
**Energy of formation from the pure elements**: -0.85 eV per atom

Entry 3:
A plane-wave DFT calculation with PBE-GGA was carried out for a relaxed structure of Tm2Si9Ru3.

```
28
Lattice="6.858 -0.027 -2.872 -4.035 6.245 -0.014 0.110 0.084 9.810" Properties=species:S:1:pos:R:3 pbc="T T T"
Ru 3.429 -0.014 -1.436
Ru 5.054 1.043 2.531
Ru -0.188 2.028 -0.474
Ru 3.121 4.274 7.398
Ru 1.467 3.151 3.462
Ru -2.120 5.259 4.393
Tm -1.640 2.607 2.440
Tm 4.573 3.695 4.483
Tm 1.555 4.693 0.538
Tm 1.378 1.609 6.386
Si 1.200 1.729 1.499
Si -0.552 3.333 5.052
Si 0.582 4.062 7.731
Si 5.966 0.132 -1.799
Si 2.659 5.406 3.139
Si -1.296 4.341 0.151
Si 3.067 1.233 4.056
Si 5.534 0.720 4.889
Si -3.033 6.169 8.723
Si -2.601 5.581 2.035
Si 4.229 1.961 6.772
Si 0.274 0.895 3.785
Si 1.734 4.573 5.425
Si 3.292 0.519 0.940
Si -0.134 5.068 2.867
Si 2.351 2.240 -0.807
Si 3.485 2.969 1.872
Si -0.359 5.782 5.983
```

**SG**: C2/c
**E_form (uncorrected)**: -0.49 eV/atom

Entry 4:
A plane-wave DFT calculation with PBE-GGA was carried out for a relaxed structure of PaCu3I9.

```
26
Lattice="5.170 10.031 0.057 -5.170 10.031 0.057 0.000 8.599 11.568" Properties=species:S:1:pos:R:3 pbc="T T T"
I -0.769 12.920 0.703
I -2.515 18.015 10.882
I 1.110 16.113 10.679
I 0.408 4.249 1.602
I -1.063 16.714 1.957
I -3.884 15.050 5.520
I -1.110 11.814 4.895
I 1.552 9.815 2.586
I 0.769 17.219 6.487
I 1.545 11.837 9.290
I 2.515 13.716 5.098
I 1.063 21.013 7.741
I 3.884 19.349 11.304
I -0.566 24.627 9.397
I -1.545 7.538 3.506
I -0.408 8.548 7.386
I 0.566 20.328 3.613
I -1.552 14.114 8.370
Pa 2.675 13.643 11.390
Pa -2.675 9.344 5.606
Cu 0.765 9.299 9.709
Cu 3.951 9.303 1.818
Cu -3.951 13.603 7.602
Cu -1.370 16.087 9.826
Cu -0.765 5.000 3.925
Cu 1.370 11.788 4.042
```

**SG**: Cc
**E_form (uncorrected)**: -0.45 eV/atom

Entry 5:
A plane-wave DFT calculation with PBE-GGA was carried out for a relaxed structure of Na2Tl5Hg5.

```
12
Lattice="5.347 0.000 1.726 1.772 6.993 3.657 0.056 0.014 8.971" Properties=species:S:1:pos:R:3 pbc="T T T"
Tl 4.483 5.295 4.400
Tl 3.587 3.504 7.177
Tl 5.445 6.980 10.567
Tl 2.691 1.713 9.954
Tl 1.730 0.027 3.786
Na 1.718 3.440 3.823
Na 5.456 3.568 10.531
Hg 4.541 1.917 4.221
Hg 0.000 0.000 0.000
Hg 2.633 5.090 10.132
Hg 6.299 5.320 7.921
Hg 0.876 1.688 6.433
```

**SG**: C2/m
**Energy of formation from the pure elements**: -0.09 eV per atom

Entry 6:
A plane-wave DFT calculation with PBE-GGA was carried out for a relaxed structure of HoOsC2.

```
4
Lattice="3.295 0.000 0.000 1.647 2.854 0.000 1.647 0.951 5.212" Properties=species:S:1:pos:R:3 pbc="T T T"
Ho 3.295 1.902 2.606
C 4.942 2.854 4.157
C 1.647 0.951 1.055
Os 0.000 0.000 0.000
```

**SG**: R-3m
**Energy of formation from the pure elements**: 0.21 eV per atom

Entry 7:
A plane-wave DFT calculation with PBE-GGA was carried out for a relaxed structure of CsCdBi.

```
3
Lattice="-3.629 -1.819 1.582 2.361 -3.256 1.673 1.399 6.095 4.218" Properties=species:S:1:pos:R:3 pbc="T T T"
Cs 0.123 0.980 7.406
Bi 0.417 1.940 3.188
Cd -0.277 -0.880 4.351
```

**SG**: I4mm
**Energy of formation from the pure elements**: -0.13 eV per atom

Entry 8:
A plane-wave DFT calculation with PBE-GGA was carried out for a relaxed structure of ScTl2Pb.

```
4
Lattice="5.735 0.000 0.000 0.000 3.447 -0.024 0.000 0.272 5.549" Properties=species:S:1:pos:R:3 pbc="T T T"
Pb 2.867 0.930 1.381
Sc 2.867 2.789 4.144
Tl 0.000 3.706 5.500
Tl 0.000 1.872 2.788
```

**SG**: P2/m
**Energy of formation from the pure elements**: -0.02 eV per atom

Entry 9:
A plane-wave DFT calculation with PBE-GGA was carried out for a relaxed structure of Gd2TiAl.

```
4
Lattice="3.730 0.000 0.000 0.000 3.730 0.000 0.000 0.000 7.082" Properties=species:S:1:pos:R:3 pbc="T T T"
Ti 1.865 1.865 0.000
Gd 0.000 0.000 5.287
Gd 0.000 0.000 1.795
Al 1.865 1.865 3.541
```

**SG**: P4/mmm
**Offset from the most stable computed form**: 1.03 kJ per mole of atoms
**Energy of formation from the pure elements**: -0.04 eV per atom

Entry 10:
A plane-wave DFT calculation with PBE-GGA was carried out for a relaxed structure of LaMnB3.

```
5
Lattice="4.561 0.000 0.000 0.000 4.561 0.000 0.000 0.000 4.561" Properties=species:S:1:pos:R:3 pbc="T T T"
B 0.000 2.280 0.000
B 0.000 0.000 2.280
B 2.280 0.000 0.000
La 0.000 0.000 0.000
Mn 2.280 2.280 2.280
```

**SG**: Pm-3m
**Offset from the most stable computed form**: 287.91 kJ per mole of atoms
**Energy of formation from the pure elements**: 2.93 eV per atom

Entry 11:
A plane-wave DFT calculation with PBE-GGA was carried out for a relaxed structure of YAsPCl2.

```
5
Lattice="5.105 0.000 0.000 0.000 5.105 0.000 0.000 0.000 5.860" Properties=species:S:1:pos:R:3 pbc="T T T"
Cl 0.000 2.552 0.000
Cl 2.552 0.000 0.000
Y 0.000 0.000 0.000
As 2.552 2.552 2.930
P 0.000 0.000 2.930
```

**SG**: P4/mmm
**E_form (uncorrected)**: -0.49 eV/atom
**Offset from the most stable computed form**: 0.00 kJ per mole of atoms

Entry 12:
A plane-wave DFT calculation with PBE-GGA was carried out for a relaxed structure of NdTlHg.

```
3
Lattice="-0.743 -0.055 3.760 -4.755 -1.256 -0.958 3.456 -3.572 0.631" Properties=species:S:1:pos:R:3 pbc="T T T"
Hg 0.530 -2.814 1.061
Nd -2.508 -2.064 2.053
Tl -0.063 -0.005 0.319
```

**SG**: P3m1
**Energy of formation from the pure elements**: -0.35 eV per atom

So what do the calculations give for VASP energy? Going down the list: -64.2; -33.4; -92.4; -41.6; -17.1; -33.4; -6.0; -14.8; -40.0; -19.5; -22.7; -8.5 eV per formula unit.
So what do the calculations give for N(E_F)? Going down the list: 0.61; 0.76; 0.37; 0.77; 0.44; 0.24; 0.40; 1.00; 1.45; 1.58; 0.05; 0.65 states/eV/atom.